Arrangement i

A plane-wave DFT calculation with PBE was carried out for a relaxed PaCoTcGe crystal.

abc: 3.473 4.475 4.823
angles: 90.00 90.00 90.00
Fractional positions:
Pa1 0.500 0.500 0.500
Co1 0.000 0.500 0.000
Tc1 0.000 0.000 0.500
Ge1 0.000 0.000 0.000

Arrangement ii

A plane-wave DFT calculation with PBE was carried out for a relaxed PaCoTcGe crystal.

abc: 4.555 4.555 4.555
angles: 60.00 60.00 60.00
Fractional positions:
Ge1 0.250 0.250 0.250
Pa1 0.750 0.750 0.750
Co1 0.500 0.500 0.500
Tc1 0.000 0.000 0.000

Q: Which of them is the least stable? A: arrangement i.

Arrangement i

A plane-wave DFT calculation with PBE was carried out for a relaxed Co3GePb crystal.

abc: 4.794 4.794 4.794
angles: 90.00 90.00 90.00
Fractional positions:
Pb1 0.000 0.000 0.000
Ge1 0.500 0.500 0.500
Co1 0.000 0.500 0.000
Co2 0.000 0.000 0.500
Co3 0.500 0.000 0.000

Arrangement ii

A plane-wave DFT calculation with PBE was carried out for a relaxed Co3GePb crystal.

abc: 4.423 4.423 4.423
angles: 90.00 90.00 90.00
Fractional positions:
Pb1 0.500 0.500 0.500
Ge1 0.000 0.000 0.000
Co1 0.000 0.500 0.000
Co2 0.000 0.000 0.500
Co3 0.500 0.000 0.000

Q: Which of them is the least stable? A: arrangement i.

Arrangement i

A plane-wave DFT calculation with PBE was carried out for a relaxed CoGePb3 crystal.

abc: 5.499 5.499 5.499
angles: 90.00 90.00 90.00
Fractional positions:
Pb1 0.000 0.500 0.000
Pb2 0.000 0.000 0.500
Pb3 0.500 0.000 0.000
Ge1 0.000 0.000 0.000
Co1 0.500 0.500 0.500

Arrangement ii

A plane-wave DFT calculation with PBE was carried out for a relaxed CoGePb3 crystal.

abc: 5.090 5.090 5.090
angles: 90.00 90.00 90.00
Fractional positions:
Pb1 0.000 0.500 0.000
Pb2 0.000 0.000 0.500
Pb3 0.500 0.000 0.000
Ge1 0.500 0.500 0.500
Co1 0.000 0.000 0.000

Q: Which of them is the least stable? A: arrangement i.